An optimized crystal structure of KFe2PPb. Source: Alexandria, functional PBE-GGA.

The structure in POSCAR format:
```
KFe2PPb
1.0
4.6860 0.0000 0.0000
0.0000 4.6860 0.0000
0.0000 0.0000 5.8370
K Fe P Pb
1 2 1 1
direct
0.0000 0.0000 0.0000 K
0.0000 0.5000 0.0000 Fe
0.5000 0.0000 0.0000 Fe
0.5000 0.5000 0.5000 P
0.0000 0.0000 0.5000 Pb
```

Summary:
- energy of formation from the pure elements (eV per atom) = 2.219
- total energy (eV per formula unit) = -16.0
- magnetic moment (μB per atom) = 1.120
- DOS(E_F) (states/eV/f.u.) = 5.5
- space group = P4/mmm



An optimized crystal structure of KFePPd. Source: Alexandria, functional PBE-GGA.

The structure in POSCAR format:
```
KFePPd
1.0
3.7559 0.0000 0.0000
0.0000 3.7559 0.0000
0.0000 0.0000 12.0194
K Fe P Pd
2 2 2 2
direct
0.2500 0.2500 0.2324 K
0.7500 0.7500 0.7676 K
0.2500 0.7500 0.5000 Fe
0.7500 0.2500 0.5000 Fe
0.2500 0.2500 0.5930 P
0.7500 0.7500 0.4070 P
0.2500 0.7500 0.0000 Pd
0.7500 0.2500 0.0000 Pd
```

Summary:
- energy of formation from the pure elements (eV per atom) = -0.257
- total energy (eV per formula unit) = -21.2
- magnetic moment (μB per atom) = 0.000
- DOS(E_F) (states/eV/f.u.) = 3.7
- space group = P4/nmm



An optimized crystal structure of KFePPt. Source: Alexandria, functional PBE-GGA.

The structure in POSCAR format:
```
KFePPt
1.0
3.7091 0.0000 0.0000
0.0000 3.7091 0.0000
0.0000 0.0000 12.2387
K Fe P Pt
2 2 2 2
direct
0.2500 0.2500 0.2308 K
0.7500 0.7500 0.7692 K
0.2500 0.7500 0.5000 Fe
0.7500 0.2500 0.5000 Fe
0.2500 0.2500 0.5961 P
0.7500 0.7500 0.4039 P
0.2500 0.7500 0.0000 Pt
0.7500 0.2500 0.0000 Pt
```

Summary:
- energy of formation from the pure elements (eV per atom) = -0.299
- total energy (eV per formula unit) = -22.2
- magnetic moment (μB per atom) = 0.141
- DOS(E_F) (states/eV/f.u.) = 4.4
- space group = P4/nmm



An optimized crystal structure of KRbFe2P. Source: Alexandria, functional PBE-GGA.

The structure in POSCAR format:
```
KRbFe2P
1.0
4.5276 0.0000 0.0000
0.0000 4.5276 0.0000
0.0000 0.0000 6.0262
K Rb Fe P
1 1 2 1
direct
0.0000 0.0000 0.0000 K
0.5000 0.5000 0.0000 Rb
0.0000 0.5000 0.5000 Fe
0.5000 0.0000 0.5000 Fe
0.0000 0.0000 0.5000 P
```

Summary:
- energy of formation from the pure elements (eV per atom) = 0.485
- total energy (eV per formula unit) = -22.0
- magnetic moment (μB per atom) = 0.997
- DOS(E_F) (states/eV/f.u.) = 5.7
- space group = P4/mmm



An optimized crystal structure of KFePS2. Source: Alexandria, functional PBE-GGA.

The structure in POSCAR format:
```
KFePS2
1.0
5.3855 0.0000 0.0000
0.0000 5.3855 0.0000
0.0000 0.0000 5.4445
K Fe P S
1 1 1 2
direct
0.0000 0.0000 0.0000 K
0.5000 0.5000 0.5000 Fe
0.0000 0.0000 0.5000 P
0.0000 0.5000 0.0000 S
0.5000 0.0000 0.0000 S
```

Summary:
- total energy (eV per formula unit) = -13.9
- magnetic moment (μB per atom) = 1.353
- DOS(E_F) (states/eV/f.u.) = 9.3
- relative energy among the computed polymorphs (meV/atom) = 1938
- formation energy (no corrections) (eV per atom) = 1.87
- space group = P4/mmm



An optimized crystal structure of K2FePS4. Source: Alexandria, functional PBE-GGA.

The structure in POSCAR format:
```
K2FePS4
1.0
0.0000 6.3060 11.4101
3.0302 0.0000 11.4101
3.0302 6.3060 0.0000
K Fe P S
4 2 2 8
direct
0.0540 0.0540 0.6960 K
0.3040 0.3040 0.9460 K
0.6960 0.6960 0.0540 K
0.9460 0.9460 0.3040 K
0.1250 0.1250 0.1250 Fe
0.8750 0.8750 0.8750 Fe
0.3750 0.3750 0.3750 P
0.6250 0.6250 0.6250 P
0.0135 0.6392 0.5527 S
0.2945 0.5527 0.6392 S
0.3608 0.9865 0.7055 S
0.4473 0.7055 0.9865 S
0.5527 0.2945 0.0135 S
0.6392 0.0135 0.2945 S
0.7055 0.4473 0.3608 S
0.9865 0.3608 0.4473 S
```

Summary:
- total energy (eV per formula unit) = -37.5
- magnetic moment (μB per atom) = 0.374
- DOS(E_F) (states/eV/f.u.) = 0.4
- formation energy (no corrections) (eV per atom) = -0.61
- space group = Fddd